[1]
DFT (PBE-GGA) results for YTiOs2 after structural relaxation.

Results
ΔE to the lowest computed polymorph	0.000	eV/atom
E	-38.02	eV per cell
SG	P4/mmm (123)
ΔH_f (0 K)	-0.30	eV per atom
Fermi-level density of states	0.82	states/eV/atom
total moment	0.0	μB per formula unit

Cell: 3.2025 3.2025 6.7432 Å, 90.00 90.00 90.00°
With the nearest neighbours (Å) after each atom.
Sites, in units of the cell vectors:
Ti 0.5000 0.5000 0.0000  8 Os 2.69
Y 0.5000 0.5000 0.5000  8 Os 2.96, 4 Y 3.20
Os 0.0000 0.0000 0.2163  4 Ti 2.69, 1 Os 2.92, 4 Y 2.96
Os 0.0000 0.0000 0.7837  4 Ti 2.69, 1 Os 2.92, 4 Y 2.96

=====

[2]
DFT (PBE-GGA) results for Y4SbRu after structural relaxation.

Results
ΔE to the lowest computed polymorph	0.144	eV/atom
E	-83.67	eV per cell
SG	P2_1/c (14)
Fermi-level density of states	0.77	states/eV/atom
energy relative to the elements, uncorrected	-2.58	eV per formula unit
total moment	0.0	μB per formula unit

Cell: 6.9233 7.0481 7.4014 Å, 90.00 91.98 90.00°
With the nearest neighbours (Å) after each atom.
Sites, in units of the cell vectors:
Ru 0.0000 0.5000 0.5000  6 Y 2.66-2.85
Sb 0.0000 0.0000 0.0000  6 Y 3.02-3.17
Sb 0.5000 0.5000 0.0000  6 Y 3.02-3.17
Y 0.3580 0.8463 0.1955  1 Ru 2.66
Y 0.1420 0.3463 0.8045  1 Ru 2.66
Y 0.1765 0.8359 0.6433  2 Ru 2.76-2.85
Ru 0.5000 0.0000 0.5000  6 Y 2.66-2.85
Y 0.6765 0.6641 0.6433  2 Ru 2.76-2.85
Y 0.6420 0.1537 0.8045  1 Ru 2.66
Y 0.3235 0.3359 0.3567  2 Ru 2.76-2.85
Y 0.8580 0.6537 0.1955  1 Ru 2.66
Y 0.8235 0.1641 0.3567  2 Ru 2.76-2.85

=====

[3]
DFT (PBE-GGA) results for CrGa2Au after structural relaxation.

Results
ΔE to the lowest computed polymorph	0.138	eV/atom
E	-18.55	eV per cell
SG	R3m (160)
ΔH_f (0 K)	0.10	eV per atom
Fermi-level density of states	0.36	states/eV/atom
total moment	3.4	μB per formula unit

Cell: 4.2868 4.2868 5.0867 Å, 65.08 65.08 60.00°
With the nearest neighbours (Å) after each atom.
Sites, in units of the cell vectors:
Ga 0.0602 0.0602 0.8195  3 Cr 2.52, 1 Ga 2.70, 3 Au 2.77
Ga 0.2627 0.2627 0.2120  1 Ga 2.70, 3 Cr 2.78, 4 Au 2.87-2.99
Au 0.4870 0.4870 0.5390  4 Cr 2.71-3.02, 7 Ga 2.77-2.99
Cr 0.6902 0.6902 0.9295  6 Ga 2.52-2.78, 1 Au 2.71

=====

[4]
DFT (PBE-GGA) results for PuScBr4 after structural relaxation.

Results
E	-36.18	eV per cell
SG	P2/m (10)
Fermi-level density of states	1.80	states/eV/atom
energy relative to the elements, uncorrected	-8.82	eV per formula unit
total moment	7.0	μB per formula unit

Cell: 3.9400 7.4430 6.9447 Å, 106.45 90.00 90.00°
With the nearest neighbours (Å) after each atom.
Sites, in units of the cell vectors:
Br 0.0000 0.7322 0.2190  2 Sc 2.77, 1 Pu 2.95
Sc 0.5000 0.5000 0.0000  6 Br 2.76-2.77
Pu 0.0000 0.5000 0.5000  6 Br 2.95-2.96
Br 0.5000 0.7460 0.7672  1 Sc 2.76, 2 Pu 2.96
Br 0.0000 0.2678 0.7810  2 Sc 2.77, 1 Pu 2.95
Br 0.5000 0.2540 0.2328  1 Sc 2.76, 2 Pu 2.96

=====

[5]
DFT (PBE-GGA) results for GaNiS2 after structural relaxation.

Results
E	-18.80	eV per cell
SG	P1 (1)
Fermi-level density of states	0.62	states/eV/atom
energy relative to the elements, uncorrected	-1.74	eV per formula unit
total moment	0.0	μB per formula unit

Cell: 3.6777 3.6787 7.0543 Å, 90.30 90.30 120.01°
With the nearest neighbours (Å) after each atom.
Sites, in units of the cell vectors:
S 0.4795 0.9099 0.4286  3 Ni 2.13, 1 Ga 2.30
Ni 0.8122 0.5758 0.4045  3 S 2.13
S 0.1566 0.2539 0.9019  3 Ga 2.36
Ga 0.4870 0.9177 0.7545  4 S 2.30-2.36

=====

[6]
DFT (PBE-GGA) results for LiCa2As4Ir3 after structural relaxation.

Results
E	-57.32	eV per cell
SG	P-4m2 (115)
ΔH_f (0 K)	-0.62	eV per atom
Fermi-level density of states	0.65	states/eV/atom
total moment	0.0	μB per formula unit

Cell: 4.3297 4.3297 10.0029 Å, 90.00 90.00 90.00°
With the nearest neighbours (Å) after each atom.
Sites, in units of the cell vectors:
As 0.0000 0.5000 0.3671  3 Ir 2.46-2.54, 2 Li 2.54
As 0.5000 0.0000 0.6329  3 Ir 2.46-2.54, 2 Li 2.54
Ir 0.0000 0.5000 0.1217  5 As 2.46-2.48
Li 0.5000 0.5000 0.5000  4 As 2.54
Ca 0.0000 0.5000 0.7496  8 As 3.28-3.31, 2 Li 3.30, 6 Ir 3.30-3.32
Ir 0.0000 0.0000 0.5000  4 As 2.54
Ca 0.5000 0.0000 0.2504  8 As 3.28-3.31, 2 Li 3.30, 6 Ir 3.30-3.32
Ir 0.5000 0.0000 0.8783  5 As 2.46-2.48
As 0.5000 0.5000 0.0000  4 Ir 2.48
As 0.0000 0.0000 0.0000  4 Ir 2.48